{
  "formula": "BeNiSn3",
  "functional": "GGA-PBEsol",
  "state": "optimized geometry",
  "dos_ef_per_ev_cell": 3.01,
  "relative_energy_ev_per_atom": 0.190,
  "formation_energy_kj_per_mol_atoms": 67.4,
  "volume_a3_per_cell": 106.7,
  "space_group": "Pm-3m",
  "e_tot_ev_per_atom": -3.889,
  "lattice_angstrom": [[4.744, 0.000, 0.000], [0.000, 4.744, 0.000], [0.000, 0.000, 4.744]],
  "species": ["Be", "Ni", "Sn", "Sn", "Sn"],
  "frac_coords": [[0.000, 0.000, 0.000], [0.500, 0.500, 0.500], [0.000, 0.000, 0.500], [0.000, 0.500, 0.000], [0.500, 0.000, 0.000]]
}